(1)
Material: FeHgBr2
Method: DFT, PBE-GGA
State: optimized geometry

Total magnetization: 4.00 μB/f.u.
Space group: No. 6
E above lowest polymorph: 62 meV/atom
E_form (uncorrected): -0.137 eV per atom
Fermi-level density of states: 2.253 states/eV/f.u.
Total DFT energy (no corrections): -3.17 eV/atom

Cell and atoms, written as extended XYZ:
```
4
Lattice="-2.746 -1.668 1.690 -1.755 -1.574 -4.406 3.019 -6.611 -1.620" Properties=species:S:1:pos:R:3 pbc="T T T"
Br -1.045 -3.672 -1.425
Br 2.565 -6.212 -1.964
Fe 1.290 -4.282 -2.130
Hg -0.641 -6.390 -3.450
```

=====

(2)
Material: ScMn2Mo
Method: DFT, PBE-GGA
State: optimized geometry

Total magnetization: 2.97 μB/f.u.
Formation energy from the elements: 537 meV/atom
Space group: No. 122
Fermi-level density of states: 3.928 states/eV/f.u.
Total DFT energy (no corrections): -8.34 eV/atom

Cell and atoms, written as extended XYZ:
```
8
Lattice="6.872 0.000 0.000 0.000 6.872 0.000 3.436 3.436 2.742" Properties=species:S:1:pos:R:3 pbc="T T T"
Sc 3.436 3.436 0.000
Sc 3.436 6.872 1.371
Mn 1.495 5.154 0.685
Mn 5.376 1.718 0.685
Mn 8.589 8.812 2.056
Mn 5.154 4.931 2.056
Mo 0.000 0.000 0.000
Mo 6.872 3.436 1.371
```

=====

(3)
Material: ZrBe2P
Method: DFT, PBE-GGA
State: optimized geometry

Total magnetization: 0.00 μB/f.u.
Formation energy from the elements: -294 meV/atom
Space group: No. 47
Fermi-level density of states: 2.761 states/eV/f.u.
Total DFT energy (no corrections): -5.65 eV/atom

Cell and atoms, written as extended XYZ:
```
4
Lattice="-1.974 -2.832 1.063 -0.409 -1.004 -3.436 3.587 -2.398 0.273" Properties=species:S:1:pos:R:3 pbc="T T T"
Zr 1.396 -3.968 -1.841
P -0.193 -2.267 -0.259
Be 1.753 -1.492 -0.717
Be 3.422 -2.607 -0.591
```

=====

(4)
Material: Sc3GaSn
Method: DFT, PBE-GGA
State: optimized geometry

Total magnetization: 0.00 μB/f.u.
Formation energy from the elements: -367 meV/atom
Space group: No. 194
E above lowest polymorph: 0 meV/atom
Fermi-level density of states: 5.740 states/eV/f.u.
Total DFT energy (no corrections): -5.57 eV/atom

Cell and atoms, written as extended XYZ:
```
10
Lattice="-0.398 -5.128 1.155 4.102 -1.573 -5.573 2.943 1.201 6.345" Properties=species:S:1:pos:R:3 pbc="T T T"
Ga 0.000 0.000 0.000
Ga -0.199 -2.564 0.577
Sc 4.646 -3.852 2.542
Sc 5.063 -1.810 -0.280
Sc 2.002 -1.648 -0.615
Sc 2.863 -3.168 4.964
Sc 3.784 -2.332 -3.038
Sc 1.585 -3.690 2.206
Sn 3.230 -1.006 2.659
Sn 3.417 -4.494 -0.732
```

=====

(5)
Material: YCdCo
Method: DFT, PBE-GGA
State: optimized geometry

Total magnetization: 0.56 μB/f.u.
Formation energy from the elements: 634 meV/atom
Space group: No. 216
Fermi-level density of states: 5.653 states/eV/f.u.
Total DFT energy (no corrections): -4.19 eV/atom

Cell and atoms, written as extended XYZ:
```
3
Lattice="4.745 0.000 0.000 2.372 4.109 0.000 2.372 1.370 3.874" Properties=species:S:1:pos:R:3 pbc="T T T"
Y 7.117 4.109 2.905
Cd 0.000 0.000 0.000
Co 4.745 2.739 1.937
```

=====

(6)
Material: TiTl2GaI6
Method: DFT, PBE-GGA
State: optimized geometry

Total magnetization: 1.00 μB/f.u.
Space group: No. 146
E_form (uncorrected): -0.600 eV per atom
Fermi-level density of states: 6.404 states/eV/f.u.
Total DFT energy (no corrections): -3.10 eV/atom

Cell and atoms, written as extended XYZ:
```
10
Lattice="8.327 0.001 0.001 4.164 7.211 0.000 4.164 2.404 6.895" Properties=species:S:1:pos:R:3 pbc="T T T"
I 9.116 2.648 5.396
I 2.615 0.659 1.779
I 9.803 6.570 5.395
I 3.427 4.617 1.779
I 6.063 5.204 5.396
I 6.448 1.935 1.780
Ga 12.491 7.212 3.773
Tl 8.327 4.807 2.706
Tl 4.164 2.404 6.390
Ti 4.163 2.404 0.189
```

=====

(7)
Material: Ho2Pa3Co2
Method: DFT, PBE-GGA
State: optimized geometry

Total magnetization: 0.00 μB/f.u.
Formation energy from the elements: -217 meV/atom
Space group: No. 12
Fermi-level density of states: 8.641 states/eV/f.u.
Total DFT energy (no corrections): -7.62 eV/atom

Cell and atoms, written as extended XYZ:
```
7
Lattice="3.439 0.000 0.918 1.343 5.377 1.867 -0.454 0.318 8.600" Properties=species:S:1:pos:R:3 pbc="T T T"
Pa 1.719 0.000 0.459
Pa 2.189 4.494 5.599
Pa 2.139 1.202 5.786
Co 1.356 5.525 8.719
Co 2.972 0.170 2.667
Ho 3.227 3.121 8.608
Ho 1.100 2.575 2.778
```

=====

(8)
Material: KCr4Ni
Method: DFT, PBE-GGA
State: optimized geometry

Total magnetization: 0.00 μB/f.u.
Formation energy from the elements: 1221 meV/atom
Space group: No. 216
Fermi-level density of states: 7.434 states/eV/f.u.
Total DFT energy (no corrections): -6.34 eV/atom

Cell and atoms, written as extended XYZ:
```
6
Lattice="4.108 -1.520 2.343 2.419 3.100 3.036 -0.079 -0.765 4.908" Properties=species:S:1:pos:R:3 pbc="T T T"
Cr 2.420 0.306 3.860
Cr 2.380 -0.076 6.309
Cr 4.469 -0.453 5.029
Cr 3.627 1.852 5.375
Ni 0.000 0.000 0.000
K 4.836 0.611 7.715
```

=====

(9)
Material: LiCrFe2
Method: DFT, PBE-GGA
State: optimized geometry

Total magnetization: 1.71 μB/f.u.
Formation energy from the elements: 302 meV/atom
Space group: No. 47
E above lowest polymorph: 111 meV/atom
Fermi-level density of states: 3.951 states/eV/f.u.
Total DFT energy (no corrections): -6.81 eV/atom

Cell and atoms, written as extended XYZ:
```
4
Lattice="-0.773 -0.618 2.377 -1.682 -2.798 -1.274 4.204 -2.816 0.635" Properties=species:S:1:pos:R:3 pbc="T T T"
Fe 2.100 -1.407 0.317
Fe 0.001 -0.001 0.000
Li -0.176 -2.412 0.710
Cr 1.925 -3.820 1.028
```

=====

(10)
Material: AcSm3Sn2
Method: DFT, PBE-GGA
State: optimized geometry

Total magnetization: 0.00 μB/f.u.
Formation energy from the elements: -506 meV/atom
Space group: No. 12
Fermi-level density of states: 7.051 states/eV/f.u.
Total DFT energy (no corrections): -4.88 eV/atom

Cell and atoms, written as extended XYZ:
```
12
Lattice="-1.162 3.888 2.583 -6.011 -7.651 4.332 9.324 1.329 2.194" Properties=species:S:1:pos:R:3 pbc="T T T"
Ac -0.680 -1.211 1.516
Ac 2.831 -1.223 7.593
Sm -2.894 -3.803 4.422
Sm 0.622 -2.841 4.555
Sm -1.045 -2.351 7.548
Sm 1.529 0.407 4.554
Sm 3.197 -0.082 1.562
Sm 5.046 1.369 4.688
Sn 1.291 -4.468 7.306
Sn 0.861 2.035 1.803
Sn -1.896 -0.753 4.760
Sn 4.047 -1.680 4.349
```

=====

(11)
Material: La5CoAu2
Method: DFT, PBE-GGA
State: optimized geometry

Total magnetization: 0.00 μB/f.u.
Formation energy from the elements: -489 meV/atom
Space group: No. 55
Fermi-level density of states: 10.185 states/eV/f.u.
Total DFT energy (no corrections): -5.28 eV/atom

Cell and atoms, written as extended XYZ:
```
16
Lattice="4.057 0.000 0.000 0.000 9.200 0.000 0.000 0.000 12.561" Properties=species:S:1:pos:R:3 pbc="T T T"
La 0.000 0.000 6.280
La 0.000 4.600 0.000
La 2.029 3.031 7.163
La 2.029 6.169 5.397
La 0.000 7.882 2.569
La 2.029 7.631 11.678
La 0.000 3.282 3.711
La 0.000 5.917 8.850
La 2.029 1.569 0.883
La 0.000 1.318 9.991
Au 2.029 0.717 4.055
Au 2.029 8.482 8.505
Au 2.029 5.317 2.225
Au 2.029 3.882 10.335
Co 0.000 0.000 0.000
Co 0.000 4.600 6.280
```

=====

(12)
Material: TbPm2Dy
Method: DFT, PBE-GGA
State: optimized geometry

Total magnetization: 0.00 μB/f.u.
Formation energy from the elements: 16 meV/atom
Space group: No. 123
E above lowest polymorph: 4 meV/atom
Fermi-level density of states: 5.263 states/eV/f.u.
Total DFT energy (no corrections): -4.67 eV/atom

Cell and atoms, written as extended XYZ:
```
4
Lattice="-2.647 -0.165 2.436 -2.358 -0.760 -2.614 1.790 -9.937 1.274" Properties=species:S:1:pos:R:3 pbc="T T T"
Dy -2.503 -0.462 -0.089
Pm 0.446 -2.479 0.318
Pm 1.343 -7.459 0.956
Tb -1.608 -5.431 0.548
```